DFT (PBE) results for NdSbAsO after structural relaxation.

The structure belongs to space group Pmc2_1 (No. 26); the cell edges are 4.502, 6.015 and 6.471 Å and the angles 90.00°, 90.00° and 90.00°. The asymmetric unit holds Nd at (0.000, 0.230, 0.000), Sb at (0.500, 0.381, 0.373), As at (0.500, 0.083, 0.695) and O at (0.000, 0.423, 0.322).

As for the crystal system: orthorhombic. The value obtained for the total moment is 0.00 μB per formula unit. The calculated total energy comes out at -5.8826 eV per atom. The value obtained for the calculated volume is 175.23 Å³ per cell.